1.
The following is a DFT calculation (PBE) of a relaxed structure of Ac2YHo4.

Cell and atoms, written as POSCAR:
```
Ac2YHo4
1.0
-6.929 -0.367 -0.263
3.951 -2.724 -5.019
3.310 -7.472 11.274
Y Ho Ac
2 8 4
Direct
0.136 0.864 0.750 Y
0.864 0.136 0.250 Y
0.724 0.223 0.000 Ho
0.223 0.724 0.500 Ho
0.244 0.197 0.471 Ho
0.197 0.244 0.971 Ho
0.756 0.803 0.529 Ho
0.803 0.756 0.029 Ho
0.276 0.777 0.000 Ho
0.777 0.276 0.500 Ho
0.750 0.250 0.750 Ac
0.250 0.750 0.250 Ac
0.567 0.433 0.250 Ac
0.433 0.567 0.750 Ac
```

**Symmetry**: Cmcm (63)
**Spin magnetization**: 0.00 μB/f.u.
**Formation energy from the elements**: 17.60 kJ per mole of atoms

=====

2.
The following is a DFT calculation (PBE) of a relaxed structure of AcHo3Zn2.

Cell and atoms, written as POSCAR:
```
AcHo3Zn2
1.0
-1.662 -1.514 2.829
0.926 -3.277 -1.210
10.684 0.586 6.590
Ac Ho Zn
1 3 2
Direct
0.500 0.500 0.500 Ac
0.000 0.000 0.000 Ho
0.000 0.000 0.276 Ho
0.000 0.000 0.724 Ho
0.500 0.500 0.138 Zn
0.500 0.500 0.862 Zn
```

**Symmetry**: P4/mmm (123)
**Spin magnetization**: 0.00 μB/f.u.
**Formation energy from the elements**: -19.49 kJ per mole of atoms

=====

3.
The following is a DFT calculation (PBE) of a relaxed structure of AcHoZn.

Cell and atoms, written as POSCAR:
```
AcHoZn
1.0
3.771 0.000 0.000
0.000 3.771 0.000
-1.886 -1.886 6.348
Zn Ho Ac
1 1 1
Direct
0.686 0.686 0.371 Zn
0.300 0.300 0.600 Ho
0.014 0.014 0.029 Ac
```

**Symmetry**: I4mm (107)
**Spin magnetization**: 0.00 μB/f.u.
**Formation energy from the elements**: -14.93 kJ per mole of atoms